PBE SrZnSn, relaxed; space-group type = No. 1; E_form = -130 kJ/mol of formula units
1.0
4.623 0.000 0.000
-2.311 4.004 0.000
-0.005 -2.654 9.604
Sr Zn Sn
2 2 2
Direct
0.000 0.000 0.000
0.160 0.319 0.481
0.269 0.540 0.808
0.748 0.496 0.246
0.412 0.823 0.237
0.583 0.166 0.748